# PmThAsS | Alexandria via LeMat-Bulk | PBE-GGA | optimized geometry
data_PmThAsS
_cell_length_a 4.1317
_cell_length_b 4.1317
_cell_length_c 5.8923
_cell_angle_alpha 90.00
_cell_angle_beta 90.00
_cell_angle_gamma 90.00
_space_group_name_H-M_alt 'P 4/m m m'
_space_group_IT_number 123
_space_group_name_Hall '-P 4 2'
loop_
_atom_site_label
_atom_site_fract_x
_atom_site_fract_y
_atom_site_fract_z
Pm1 0.0000 0.0000 0.0000
Th1 0.5000 0.5000 0.5000
As1 0.5000 0.5000 0.0000
S1 0.0000 0.0000 0.5000
# Electronic total energy   -6.92 eV per atom
# E_form (uncorrected)   -1.68 eV per atom
# M_tot   0.0 μB/cell
# Density of states at the Fermi level   2.62 states/eV per cell